# 1
Rb3SnF: relaxed, GGA-PBE.

a = 5.758 Å, b = 5.758 Å, c = 5.758 Å
α = 90.00°, β = 90.00°, γ = 90.00°
Fractional positions:
Rb 0.000 0.000 0.500
Rb 0.000 0.500 0.000
Rb 0.500 0.000 0.000
Sn 0.500 0.500 0.500
F 0.000 0.000 0.000

The value obtained for the total energy is -2.785 eV/atom. For the energy above the most stable polymorph in this dataset, the calculation gives 0.0180 eV/atom. The space-group type is Pm-3m, No. 221. As for the raw formation energy: -497 kJ/mol of formula units.

***

# 2
MnTl2CuSe4: relaxed, GGA-PBE.

a = 13.097 Å, b = 11.472 Å, c = 7.478 Å
α = 84.66°, β = 60.70°, γ = 34.64°
Fractional positions:
Mn 0.125 0.125 0.125
Mn 0.875 0.875 0.875
Tl 0.058 0.058 0.692
Tl 0.308 0.308 0.942
Tl 0.692 0.692 0.058
Tl 0.942 0.942 0.308
Cu 0.375 0.375 0.375
Cu 0.625 0.625 0.625
Se 0.054 0.315 0.390
Se 0.259 0.610 0.685
Se 0.315 0.054 0.741
Se 0.390 0.741 0.054
Se 0.610 0.259 0.946
Se 0.685 0.946 0.259
Se 0.741 0.390 0.315
Se 0.946 0.685 0.610

The value obtained for the total energy is -4.336 eV/atom. The space-group type is Fddd, No. 70. As for the raw formation energy: -265 kJ/mol of formula units.

***

# 3
CsGaSeN2: relaxed, GGA-PBE.

a = 4.419 Å, b = 4.419 Å, c = 7.324 Å
α = 90.00°, β = 90.00°, γ = 90.00°
Fractional positions:
Cs 0.000 0.000 0.000
Ga 0.500 0.500 0.500
Se 0.000 0.000 0.500
N 0.000 0.500 0.000
N 0.500 0.000 0.000

The value obtained for the total energy is -2.684 eV/atom. For the energy above the most stable polymorph in this dataset, the calculation gives 1.0707 eV/atom. The space-group type is P4/mmm, No. 123. As for the raw formation energy: 1023 kJ/mol of formula units.

***

# 4
Y4TeOs: relaxed, GGA-PBE.

a = 8.053 Å, b = 4.098 Å, c = 19.524 Å
α = 90.00°, β = 90.00°, γ = 90.00°
Fractional positions:
Y 0.000 0.250 0.067
Y 0.000 0.750 0.933
Y 0.050 0.250 0.787
Y 0.136 0.250 0.357
Y 0.140 0.250 0.545
Y 0.360 0.750 0.045
Y 0.364 0.750 0.857
Y 0.450 0.750 0.287
Y 0.500 0.250 0.433
Y 0.500 0.750 0.567
Y 0.550 0.250 0.713
Y 0.636 0.250 0.143
Y 0.640 0.250 0.955
Y 0.860 0.750 0.455
Y 0.864 0.750 0.643
Y 0.950 0.750 0.213
Te 0.247 0.750 0.693
Te 0.253 0.250 0.193
Te 0.747 0.750 0.807
Te 0.753 0.250 0.307
Os 0.247 0.750 0.449
Os 0.253 0.250 0.949
Os 0.747 0.750 0.051
Os 0.753 0.250 0.551

The value obtained for the total energy is -7.318 eV/atom. For the energy above the most stable polymorph in this dataset, the calculation gives 0.0000 eV/atom. The space-group type is Pnma, No. 62. As for the raw formation energy: -355 kJ/mol of formula units.

***

# 5
Zn6CuTc: relaxed, GGA-PBE.

a = 5.142 Å, b = 5.142 Å, c = 5.142 Å
α = 82.58°, β = 82.58°, γ = 82.58°
Fractional positions:
Zn 0.155 0.155 0.534
Zn 0.155 0.534 0.155
Zn 0.466 0.845 0.845
Zn 0.534 0.155 0.155
Zn 0.845 0.466 0.845
Zn 0.845 0.845 0.466
Cu 0.000 0.000 0.000
Tc 0.500 0.500 0.500

The value obtained for the total energy is -2.386 eV/atom. The space-group type is R-3m, No. 166. The formation energy comes out at 0.38 eV/atom.

***

# 6
Hf2TaCo: relaxed, GGA-PBE.

a = 5.905 Å, b = 5.905 Å, c = 5.905 Å
α = 103.05°, β = 103.05°, γ = 123.27°
Fractional positions:
Hf 0.075 0.625 0.950
Hf 0.375 0.325 0.450
Hf 0.675 0.125 0.050
Hf 0.875 0.925 0.550
Ta 0.250 0.750 0.500
Ta 0.500 0.500 0.000
Co 0.000 0.000 0.000
Co 0.750 0.250 0.500

The value obtained for the total energy is -9.414 eV/atom. For the energy above the most stable polymorph in this dataset, the calculation gives 0.4579 eV/atom. The space-group type is I-42d, No. 122. The formation energy comes out at 0.30 eV/atom.

***

> What is the formula in the sixth record?

Hf2TaCo